[1]
Material: Ho2InPd4
Method: DFT, PBE
State: optimized geometry

Cell lengths 4.919, 4.919, 14.135 Å; angles 90.00, 90.00, 90.00 degrees
Space group I4/mmm (No. 139)
Symmetry-distinct sites (fractional):
Ho (0.000, 0.000, 0.128)
In (0.000, 0.000, 0.500)
Pd (0.000, 0.000, 0.312)
Pd (0.000, 0.500, 0.000)

The density of states at the Fermi level comes out at 6.94 states/eV/cell. The energy relative to the elements is -0.1901 eV per atom. The value obtained for the magnetic moment is 0.000 μB/atom. The total energy comes out at -33.996 eV per formula unit. As for the energy above the most stable polymorph in this dataset: 3.647 eV/f.u.

---

[2]
Material: KRb2Sn2
Method: DFT, PBE
State: optimized geometry

Cell lengths 5.746, 5.746, 15.190 Å; angles 90.00, 90.00, 90.00 degrees
Space group I4/mmm (No. 139)
Symmetry-distinct sites (fractional):
K (0.000, 0.000, 0.000)
Rb (0.000, 0.500, 0.250)
Sn (0.000, 0.000, 0.412)

The density of states at the Fermi level comes out at 7.62 states/eV/cell. The energy relative to the elements is -0.0707 eV per atom. The value obtained for the magnetic moment is 0.000 μB/atom. The total energy comes out at -11.392 eV per formula unit. As for the energy above the most stable polymorph in this dataset: 0.301 eV/f.u.

---

[3]
Material: Sc2NiBr
Method: DFT, PBE
State: optimized geometry

Cell lengths 4.566, 4.579, 7.622 Å; angles 90.00, 90.00, 90.00 degrees
Space group Cmmm (No. 65)
Symmetry-distinct sites (fractional):
Sc (0.000, 0.000, 0.200)
Ni (0.000, 0.500, 0.000)
Br (0.000, 0.500, 0.500)

The density of states at the Fermi level comes out at 5.36 states/eV/cell. The formation energy from raw total energies comes out at -2.164 eV per formula unit. The value obtained for the magnetic moment is 0.000 μB/atom. The total energy comes out at -22.282 eV per formula unit. As for the energy above the most stable polymorph in this dataset: 0.666 eV/f.u.

---

[4]
Material: NbSe2S
Method: DFT, PBE
State: optimized geometry

Cell lengths 10.761, 3.378, 10.832 Å; angles 90.00, 90.00, 90.00 degrees
Space group Pnma (No. 62)
Symmetry-distinct sites (fractional):
Nb (0.056, 0.250, 0.173)
Se (0.090, 0.250, 0.712)
Se (0.131, 0.750, 0.998)
S (0.177, 0.750, 0.291)

The density of states at the Fermi level comes out at 5.48 states/eV/cell. The formation energy from raw total energies comes out at -2.456 eV per formula unit. The value obtained for the magnetic moment is 0.000 μB/atom. The total energy comes out at -23.622 eV per formula unit.